The following is a DFT calculation (GGA-PBE) of a geometry-optimized AcSmZn4 structure.

Size of the total moment, μB per atom: 0.00
VASP energy, eV per atom: -2.60

abc: 4.3069 4.3069 8.3586
angles: 104.93 104.93 90.00
Atoms (fractional coordinates):
Sm  0.2500  0.7500  0.5000
Ac  0.0000  0.0000  0.0000
Zn  0.6711  0.1711  0.3423
Zn  0.5882  0.5882  0.1764
Zn  0.8289  0.3289  0.6577
Zn  0.4118  0.4118  0.8236